The following is a DFT calculation (PBE-GGA) of a relaxed structure of Zr2MoCl.

Cell and atoms, written as CIF:
```
data_Zr2MoCl
_space_group_name_H-M_alt 'P 1'
_space_group_IT_number 1
_space_group_name_Hall 'P 1'
_cell_length_a 3.225
_cell_length_b 4.877
_cell_length_c 4.877
_cell_angle_alpha 90.00
_cell_angle_beta 90.00
_cell_angle_gamma 90.00
loop_
_atom_site_label
_atom_site_type_symbol
_atom_site_fract_x
_atom_site_fract_y
_atom_site_fract_z
Cl1 Cl 0.500 0.500 0.000
Mo1 Mo 0.500 0.000 0.500
Zr1 Zr 0.000 0.000 0.000
Zr2 Zr 0.000 0.500 0.500
```

Values from the calculation:
**Space group**: P4/mmm (123)
**Formation energy (no corrections)**: 0.05 eV per atom
**Calculated density**: 6.79 Mg/m³
**Magnetization**: 0.00 Bohr magnetons per cell
**Distance to the lowest polymorph of the same formula**: 0.5531 eV/atom
**Density of states at the Fermi level**: 5.2 states/eV/f.u.